First-principles (PBE with a Hubbard U) data for crystalline FeNiPO2 at its relaxed geometry, as listed in Alexandria via LeMat-Bulk.

Computed properties:
raw total energy	-4.479	eV/atom
total moment	4.87	μB/cell
ΔE to the lowest computed polymorph	0.223	eV/atom

a b c (Å): 3.6921 3.6921 4.5560
angles (deg): 90.00 90.00 90.00
Fractional positions:
Fe 0.0000 0.0000 0.0000
Ni 0.5000 0.5000 0.5000
P 0.5000 0.5000 0.0000
O 0.0000 0.5000 0.5000
O 0.5000 0.0000 0.5000